PmPa2Se4 | PBE | optimized geometry

Summary:
- total moment (μB per atom) = 0.68
- offset from the most stable computed form (eV/atom) = 0.085
- uncorrected formation energy (eV/atom) = -1.315

a b c (Å): 9.2213 9.2213 9.0197
angles (deg): 90.00 90.00 90.00
Last column: nearest neighbours and their distance in Å.
Space group I4_1/amd (No. 141, origin choice 2)
Unique sites:
Pm (0.0000, 0.2500, 0.3750) (multiplicity 4)  8 Se 2.92-3.26
Pa (0.0000, 0.0000, 0.0000) (multiplicity 8)  6 Se 2.93-2.95
Se (0.0000, 0.0621, 0.6816) (multiplicity 16)  2 Pm 2.92-3.26, 3 Pa 2.93-2.95